# 1
## Tb2SmS (PBE)

Data for crystalline Tb2SmS at its relaxed geometry.

```
data_Tb2SmS
_symmetry_space_group_name_H-M 'P 1'
_symmetry_Int_Tables_number 1
_symmetry_space_group_name_Hall 'P 1'
_cell_length_a 3.6860
_cell_length_b 3.6860
_cell_length_c 10.3561
_cell_angle_alpha 79.75
_cell_angle_beta 79.75
_cell_angle_gamma 60.00
loop_
_atom_site_label
_atom_site_type_symbol
_atom_site_fract_x
_atom_site_fract_y
_atom_site_fract_z
S1 S 0.5000 0.5000 0.5000
Tb1 Tb 0.1125 0.1125 0.6624
Tb2 Tb 0.8875 0.8875 0.3376
Sm1 Sm 0.0000 0.0000 0.0000
```

Results
Total moment in μB per atom: 0.178
Formation energy (no corrections) in eV per atom: -0.75

***

# 2
## SrS2NO (PBE)

Data for crystalline SrS2NO at its relaxed geometry.

```
data_SrS2NO
_symmetry_space_group_name_H-M 'P 1'
_symmetry_Int_Tables_number 1
_symmetry_space_group_name_Hall 'P 1'
_cell_length_a 3.7525
_cell_length_b 6.6368
_cell_length_c 3.7525
_cell_angle_alpha 90.00
_cell_angle_beta 90.00
_cell_angle_gamma 90.00
loop_
_atom_site_label
_atom_site_type_symbol
_atom_site_fract_x
_atom_site_fract_y
_atom_site_fract_z
Sr1 Sr 0.5000 0.5000 0.5000
S1 S 0.0000 0.0000 0.5000
S2 S 0.5000 0.0000 0.0000
O1 O 0.0000 0.5000 0.0000
N1 N 0.0000 0.0000 0.0000
```

Results
Total moment in μB per atom: 0.000
Formation energy (no corrections) in eV per atom: 0.04
Polymorph energy (0 for the lowest one) in kcal/mol of atoms: 0.00